Entry 1:
Below is an optimized crystal structure of Au4C3, with properties calculated at the GGA-PBE level.

Summary:
The calculation puts the formation energy at 15.315 eV/f.u. For the calculated volume, the calculation gives 14.66 Å³/atom. The offset from the most stable computed form comes out at 0.646 eV/atom.

a = 4.373 Å, b = 4.373 Å, c = 6.195 Å
α = 90.00°, β = 90.00°, γ = 120.00°
Fractional coordinates of all 7 atoms:
Au 0.000 0.000 0.239
Au 0.000 0.000 0.761
Au 0.333 0.667 0.500
Au 0.667 0.333 0.500
C 0.000 0.500 0.000
C 0.500 0.000 0.000
C 0.500 0.500 0.000

---

Entry 2:
Below is an optimized crystal structure of Au2C, with properties calculated at the GGA-PBE level.

Summary:
The calculation puts the formation energy at 3.077 eV/f.u. For the calculated volume, the calculation gives 27.18 Å³/atom. The offset from the most stable computed form comes out at 0.175 eV/atom.

a = 6.517 Å, b = 6.517 Å, c = 8.868 Å
α = 90.00°, β = 90.00°, γ = 120.00°
Fractional coordinates of all 12 atoms:
Au 0.000 0.000 0.000
Au 0.000 0.000 0.500
Au 0.145 0.290 0.250
Au 0.145 0.855 0.250
Au 0.290 0.145 0.750
Au 0.710 0.855 0.250
Au 0.855 0.145 0.750
Au 0.855 0.710 0.750
C 0.333 0.667 0.176
C 0.333 0.667 0.324
C 0.667 0.333 0.676
C 0.667 0.333 0.824

---

Entry 3:
Below is an optimized crystal structure of AuC5, with properties calculated at the GGA-PBE level.

Summary:
The calculation puts the formation energy at 6.091 eV/f.u. For the calculated volume, the calculation gives 10.01 Å³/atom. The offset from the most stable computed form comes out at 0.000 eV/atom.

a = 3.776 Å, b = 3.776 Å, c = 6.584 Å
α = 91.93°, β = 91.93°, γ = 39.81°
Fractional coordinates of all 6 atoms:
Au 0.000 0.000 0.000
C 0.016 0.016 0.433
C 0.222 0.222 0.530
C 0.419 0.419 0.437
C 0.707 0.707 0.867
C 0.720 0.720 0.660